PaBeHgO5 | GGA-PBE | optimized geometry

Values from the calculation:
**Uncorrected energy**: -6.92 eV/atom
**Total magnetization**: 2.0 μB/cell
**Space-group type**: C2/c (15)
**Formation energy (no corrections)**: -2.13 eV per atom

a = 5.7967 Å, b = 5.7967 Å, c = 8.2190 Å
α = 107.20°, β = 107.20°, γ = 96.34°
With the nearest neighbours (Å) after each atom.
Atoms (fractional coordinates):
Pa 0.0000 0.5000 0.0000  4 O 2.04-2.24
Pa 0.5000 0.0000 0.5000  4 O 2.04-2.24
Be 0.0697 0.9303 0.7500  4 O 1.63-1.66
Be 0.9303 0.0697 0.2500  4 O 1.63-1.66
Hg 0.4046 0.5954 0.7500  3 O 2.07-2.19
Hg 0.5954 0.4046 0.2500  3 O 2.07-2.19
O 0.1399 0.7482 0.8713  1 Be 1.66
O 0.1454 0.2215 0.8790  1 Be 1.63
O 0.2215 0.1454 0.3790  1 Be 1.63
O 0.2518 0.8601 0.6287  1 Be 1.66
O 0.3557 0.6443 0.2500  1 Hg 2.07, 2 Pa 2.30
O 0.6443 0.3557 0.7500  1 Hg 2.07, 2 Pa 2.30
O 0.7482 0.1399 0.3713  1 Be 1.66
O 0.7785 0.8546 0.6210  1 Be 1.63
O 0.8546 0.7785 0.1210  1 Be 1.63
O 0.8601 0.2518 0.1287  1 Be 1.66


PaBe2Hg2O6 | GGA-PBE | optimized geometry

Values from the calculation:
**Uncorrected energy**: -6.29 eV/atom
**Total magnetization**: 0.0 μB/cell
**Space-group type**: P-3 (147)
**Formation energy (no corrections)**: -1.99 eV per atom

a = 5.3987 Å, b = 5.3987 Å, c = 6.5101 Å
α = 90.00°, β = 90.00°, γ = 120.00°
With the nearest neighbours (Å) after each atom.
Atoms (fractional coordinates):
Pa 0.0000 0.0000 0.0000  6 O 2.19
Be 0.3333 0.6667 0.8021  3 O 1.55
Be 0.6667 0.3333 0.1979  3 O 1.55
Hg 0.3333 0.6667 0.3551  3 O 2.35
Hg 0.6667 0.3333 0.6449  3 O 2.35
O 0.0691 0.7089 0.8049  1 Be 1.55
O 0.2911 0.3602 0.8049  1 Be 1.55
O 0.3602 0.0691 0.1951  1 Be 1.55
O 0.6398 0.9309 0.8049  1 Be 1.55
O 0.7089 0.6398 0.1951  1 Be 1.55
O 0.9309 0.2911 0.1951  1 Be 1.55


BeHgPtO5 | GGA-PBE | optimized geometry

Values from the calculation:
**Uncorrected energy**: -5.13 eV/atom
**Total magnetization**: 2.3 μB/cell
**Space-group type**: C2/c (15)
**Formation energy (no corrections)**: -0.77 eV per atom

a = 5.4903 Å, b = 5.4903 Å, c = 7.1544 Å
α = 104.96°, β = 104.96°, γ = 105.76°
With the nearest neighbours (Å) after each atom.
Atoms (fractional coordinates):
Be 0.1907 0.8093 0.7500  4 O 1.63-1.69
Be 0.8093 0.1907 0.2500  4 O 1.63-1.69
Hg 0.1566 0.8434 0.2500  5 O 2.24-2.45
Hg 0.8434 0.1566 0.7500  5 O 2.24-2.45
Pt 0.5000 0.5000 0.0000  6 O 1.95-2.00
Pt 0.5000 0.5000 0.5000  6 O 1.95-2.00
O 0.1225 0.2475 0.4079  1 Be 1.69
O 0.1928 0.6088 0.8824  1 Be 1.63
O 0.2475 0.1225 0.9079  1 Be 1.69
O 0.3912 0.8072 0.6176  1 Be 1.63
O 0.4122 0.5878 0.2500  2 Pt 1.95
O 0.5878 0.4122 0.7500  2 Pt 1.95
O 0.6088 0.1928 0.3824  1 Be 1.63
O 0.7525 0.8775 0.0921  1 Be 1.69
O 0.8072 0.3912 0.1176  1 Be 1.63
O 0.8775 0.7525 0.5921  1 Be 1.69


PuBeHg2O6 | GGA-PBE | optimized geometry

Values from the calculation:
**Uncorrected energy**: -6.30 eV/atom
**Total magnetization**: 2.0 μB/cell
**Space-group type**: P1 (1)
**Formation energy (no corrections)**: -1.45 eV per atom

a = 5.5287 Å, b = 5.5289 Å, c = 6.1047 Å
α = 89.92°, β = 63.09°, γ = 60.00°
With the nearest neighbours (Å) after each atom.
Atoms (fractional coordinates):
Pu 0.0000 0.0000 0.0000  5 O 1.99-2.23
Be 0.1496 0.4247 0.2761  3 O 1.58
Hg 0.4514 0.7739 0.3232  3 O 2.26
Hg 0.5550 0.2229 0.6669  3 O 2.23-2.24
O 0.1037 0.6608 0.7740  1 Pu 1.99
O 0.1063 0.7270 0.2533  1 Be 1.58
O 0.4615 0.8792 0.7748  1 Pu 1.99
O 0.4737 0.1661 0.2547  1 Be 1.58
O 0.8833 0.2383 0.7766  1 Pu 1.99
O 0.9124 0.3590 0.2547  1 Be 1.58


PuBe2HgO6 | GGA-PBE | optimized geometry

Values from the calculation:
**Uncorrected energy**: -7.19 eV/atom
**Total magnetization**: 4.0 μB/cell
**Space-group type**: C2/c (15)
**Formation energy (no corrections)**: -2.01 eV per atom

a = 7.2056 Å, b = 7.2056 Å, c = 5.4099 Å
α = 107.66°, β = 107.66°, γ = 89.33°
With the nearest neighbours (Å) after each atom.
Atoms (fractional coordinates):
Pu 0.2016 0.7984 0.7500  2 O 1.86
Pu 0.7984 0.2016 0.2500  2 O 1.86
Be 0.1534 0.2744 0.6611  4 O 1.62-1.74
Be 0.2744 0.1534 0.1611  4 O 1.62-1.74
Be 0.7256 0.8466 0.8389  4 O 1.62-1.74
Be 0.8466 0.7256 0.3389  4 O 1.62-1.74
Hg 0.4080 0.5920 0.2500  2 O 2.14
Hg 0.5920 0.4080 0.7500  2 O 2.14
O 0.0930 0.7041 0.3707  1 Be 1.74, 1 Pu 1.86
O 0.1187 0.2162 0.3274  2 Be 1.62-1.66
O 0.2162 0.1187 0.8274  2 Be 1.62-1.66
O 0.2553 0.4977 0.8200  1 Be 1.63
O 0.2959 0.9070 0.1293  1 Be 1.74, 1 Pu 1.86
O 0.4977 0.2553 0.3200  1 Be 1.63
O 0.5023 0.7447 0.6800  1 Be 1.63
O 0.7041 0.0930 0.8707  1 Be 1.74, 1 Pu 1.86
O 0.7447 0.5023 0.1800  1 Be 1.63
O 0.7838 0.8813 0.1726  2 Be 1.62-1.66
O 0.8813 0.7838 0.6726  2 Be 1.62-1.66
O 0.9070 0.2959 0.6293  1 Be 1.74, 1 Pu 1.86


Pu2BeHgO8 | GGA-PBE | optimized geometry

Values from the calculation:
**Uncorrected energy**: -8.01 eV/atom
**Total magnetization**: 4.0 μB/cell
**Space-group type**: Cmmm (65)
**Formation energy (no corrections)**: -1.98 eV per atom

a = 4.9511 Å, b = 4.9511 Å, c = 7.2518 Å
α = 90.00°, β = 90.00°, γ = 100.83°
With the nearest neighbours (Å) after each atom.
Atoms (fractional coordinates):
Pu 0.0000 0.0000 0.2374  2 O 1.81
Pu 0.0000 0.0000 0.7626  2 O 1.81
Be 0.5000 0.5000 0.0000  2 O 1.53
Hg 0.5000 0.5000 0.5000  2 O 1.97
O 0.1871 0.1871 0.5000  1 Hg 1.97
O 0.2377 0.7623 0.2340  1 Pu 1.81
O 0.2377 0.7623 0.7660  1 Pu 1.81
O 0.2574 0.2574 0.0000  1 Be 1.53
O 0.7426 0.7426 0.0000  1 Be 1.53
O 0.7623 0.2377 0.2340  1 Pu 1.81
O 0.7623 0.2377 0.7660  1 Pu 1.81
O 0.8129 0.8129 0.5000  1 Hg 1.97


Be2HgRhO | GGA-PBE | optimized geometry

Values from the calculation:
**Uncorrected energy**: -4.12 eV/atom
**Total magnetization**: 0.0 μB/cell
**Space-group type**: P4/mmm (123)
**Formation energy (no corrections)**: -0.11 eV per atom

a = 3.6338 Å, b = 3.6338 Å, c = 5.0678 Å
α = 90.00°, β = 90.00°, γ = 90.00°
With the nearest neighbours (Å) after each atom.
Atoms (fractional coordinates):
Be 0.0000 0.5000 0.0000  2 O 1.82
Be 0.5000 0.0000 0.0000  2 O 1.82
Hg 0.0000 0.0000 0.5000  2 O 2.53, 4 Rh 2.57
Rh 0.5000 0.5000 0.5000  4 Hg 2.57
O 0.0000 0.0000 0.0000  4 Be 1.82


BeHgS2O8 | GGA-PBE | optimized geometry

Values from the calculation:
**Uncorrected energy**: -5.63 eV/atom
**Total magnetization**: 0.0 μB/cell
**Space-group type**: C2/m (12)
**Formation energy (no corrections)**: -1.30 eV per atom

a = 4.6788 Å, b = 4.6788 Å, c = 7.1485 Å
α = 90.92°, β = 90.92°, γ = 67.09°
With the nearest neighbours (Å) after each atom.
Atoms (fractional coordinates):
Be 0.0000 0.0000 0.0000  2 O 1.70
Hg 0.0000 0.0000 0.5000  2 O 2.17
S 0.3396 0.3396 0.7904  4 O 1.46-1.51
S 0.6604 0.6604 0.2096  4 O 1.46-1.51
O 0.2075 0.2075 0.9331  1 S 1.46
O 0.2131 0.6843 0.8075  1 S 1.49
O 0.2667 0.2667 0.5928  1 S 1.51
O 0.3157 0.7869 0.1925  1 S 1.49
O 0.6843 0.2131 0.8075  1 S 1.49
O 0.7333 0.7333 0.4072  1 S 1.51
O 0.7869 0.3157 0.1925  1 S 1.49
O 0.7925 0.7925 0.0669  1 S 1.46


Be4HgSb3O12 | GGA-PBE | optimized geometry

Values from the calculation:
**Uncorrected energy**: -6.06 eV/atom
**Total magnetization**: 0.0 μB/cell
**Space-group type**: R32 (155)
**Formation energy (no corrections)**: -1.71 eV per atom

a = 6.4403 Å, b = 6.4403 Å, c = 6.4403 Å
α = 105.11°, β = 105.11°, γ = 105.11°
With the nearest neighbours (Å) after each atom.
Atoms (fractional coordinates):
Be 0.0000 0.0000 0.0000  3 O 1.56
Be 0.0000 0.4428 0.5572  3 O 1.54-1.60
Be 0.4428 0.5572 0.0000  3 O 1.54-1.60
Be 0.5572 0.0000 0.4428  3 O 1.54-1.60
Hg 0.5000 0.5000 0.5000  6 O 2.53
Sb 0.0507 0.9493 0.5000  6 O 1.96-2.09
Sb 0.5000 0.0507 0.9493  6 O 1.96-2.09
Sb 0.9493 0.5000 0.0507  6 O 1.96-2.09
O 0.0000 0.5988 0.4012  1 Be 1.60
O 0.0000 0.8472 0.1528  1 Be 1.56
O 0.1275 0.2716 0.5225  1 Be 1.54
O 0.1528 0.0000 0.8472  1 Be 1.56
O 0.2716 0.5225 0.1275  1 Be 1.54
O 0.4012 0.0000 0.5988  1 Be 1.60
O 0.4775 0.7284 0.8725  1 Be 1.54
O 0.5225 0.1275 0.2716  1 Be 1.54
O 0.5988 0.4012 0.0000  1 Be 1.60
O 0.7284 0.8725 0.4775  1 Be 1.54
O 0.8472 0.1528 0.0000  1 Be 1.56
O 0.8725 0.4775 0.7284  1 Be 1.54


BeHgSeO6 | GGA-PBE | optimized geometry

Values from the calculation:
**Uncorrected energy**: -4.73 eV/atom
**Total magnetization**: 1.2 μB/cell
**Space-group type**: P312 (149)
**Formation energy (no corrections)**: -0.59 eV per atom

a = 4.8860 Å, b = 4.8860 Å, c = 4.6872 Å
α = 90.00°, β = 90.00°, γ = 120.00°
With the nearest neighbours (Å) after each atom.
Atoms (fractional coordinates):
Be 0.0000 0.0000 0.0000  6 O 1.82
Hg 0.6667 0.3333 0.5000  6 O 2.29
Se 0.3333 0.6667 0.0000  6 O 1.81
O 0.0446 0.3348 0.7909  1 Se 1.81, 1 Be 1.82
O 0.0446 0.7098 0.2091  1 Se 1.81, 1 Be 1.82
O 0.2902 0.3348 0.2091  1 Se 1.81, 1 Be 1.82
O 0.2902 0.9554 0.7909  1 Se 1.81, 1 Be 1.82
O 0.6652 0.7098 0.7909  1 Se 1.81, 1 Be 1.82
O 0.6652 0.9554 0.2091  1 Se 1.81, 1 Be 1.82


Be2HgSeO6 | GGA-PBE | optimized geometry

Values from the calculation:
**Uncorrected energy**: -5.34 eV/atom
**Total magnetization**: 0.0 μB/cell
**Space-group type**: C2/c (15)
**Formation energy (no corrections)**: -1.24 eV per atom

a = 6.2246 Å, b = 6.2246 Å, c = 5.8936 Å
α = 101.57°, β = 101.57°, γ = 87.58°
With the nearest neighbours (Å) after each atom.
Atoms (fractional coordinates):
Be 0.1119 0.2603 0.1165  4 O 1.62-1.78
Be 0.2603 0.1119 0.6165  4 O 1.62-1.78
Be 0.7397 0.8881 0.3835  4 O 1.62-1.78
Be 0.8881 0.7397 0.8835  4 O 1.62-1.78
Hg 0.4095 0.5905 0.7500  4 O 2.23-2.30
Hg 0.5905 0.4095 0.2500  4 O 2.23-2.30
Se 0.2086 0.7914 0.2500  6 O 1.77-1.87
Se 0.7914 0.2086 0.7500  6 O 1.77-1.87
O 0.0976 0.2187 0.8053  2 Be 1.68-1.78, 1 Se 1.87
O 0.1526 0.7577 0.9387  1 Be 1.62, 1 Se 1.77
O 0.2187 0.0976 0.3053  2 Be 1.68-1.78, 1 Se 1.87
O 0.2280 0.4920 0.2577  1 Be 1.63
O 0.2423 0.8474 0.5613  1 Be 1.62, 1 Se 1.77
O 0.4920 0.2280 0.7577  1 Be 1.63
O 0.5080 0.7720 0.2423  1 Be 1.63
O 0.7577 0.1526 0.4387  1 Be 1.62, 1 Se 1.77
O 0.7720 0.5080 0.7423  1 Be 1.63
O 0.7813 0.9024 0.6947  2 Be 1.68-1.78, 1 Se 1.87
O 0.8474 0.2423 0.0613  1 Be 1.62, 1 Se 1.77
O 0.9024 0.7813 0.1947  2 Be 1.68-1.78, 1 Se 1.87


BeTc2HgO8 | GGA-PBE | optimized geometry

Values from the calculation:
**Uncorrected energy**: -6.70 eV/atom
**Total magnetization**: 0.0 μB/cell
**Space-group type**: C2/m (12)
**Formation energy (no corrections)**: -1.33 eV per atom

a = 5.4546 Å, b = 5.4546 Å, c = 8.8983 Å
α = 107.68°, β = 107.68°, γ = 59.69°
With the nearest neighbours (Å) after each atom.
Atoms (fractional coordinates):
Be 0.0000 0.0000 0.0000  6 O 1.82-1.91
Tc 0.2817 0.2817 0.8058  4 O 1.71-1.76
Tc 0.7183 0.7183 0.1942  4 O 1.71-1.76
Hg 0.5000 0.5000 0.5000  6 O 3.22-3.34
O 0.1307 0.6593 0.8608  1 Tc 1.76, 1 Be 1.82
O 0.1477 0.1477 0.8994  1 Tc 1.74, 1 Be 1.91
O 0.1920 0.1920 0.6021  1 Tc 1.71
O 0.3407 0.8693 0.1392  1 Tc 1.76, 1 Be 1.82
O 0.6593 0.1307 0.8608  1 Tc 1.76, 1 Be 1.82
O 0.8080 0.8080 0.3979  1 Tc 1.71
O 0.8523 0.8523 0.1006  1 Tc 1.74, 1 Be 1.91
O 0.8693 0.3407 0.1392  1 Tc 1.76, 1 Be 1.82


BeTcHgO2 | GGA-PBE | optimized geometry

Values from the calculation:
**Uncorrected energy**: -5.33 eV/atom
**Total magnetization**: 0.0 μB/cell
**Space-group type**: P4/mmm (123)
**Formation energy (no corrections)**: -0.47 eV per atom

a = 3.7721 Å, b = 3.7721 Å, c = 5.1761 Å
α = 90.00°, β = 90.00°, γ = 90.00°
With the nearest neighbours (Å) after each atom.
Atoms (fractional coordinates):
Be 0.0000 0.0000 0.0000  2 Tc 2.59, 4 Hg 2.67
Tc 0.0000 0.0000 0.5000  4 O 1.89
Hg 0.5000 0.5000 0.0000  4 Be 2.67
O 0.0000 0.5000 0.5000  2 Tc 1.89
O 0.5000 0.0000 0.5000  2 Tc 1.89